The following is a PBE+U calculation of an optimized crystal structure of K3Mn4O8, from the Alexandria database.

Values from the calculation:
The total energy comes out at -6.44 eV per atom. Its calculated volume is 821.78 Å³ per cell.

Unit cell a=6.379 b=10.347 c=13.226 alpha=71.10 beta=85.48 gamma=85.19
Each line ends with the local moment (μB).
Element x y z (fractional)
O1 0.222 0.945 0.913  -0.04
O2 0.217 0.439 0.911  -0.02
K1 0.248 0.706 0.252  0.00
O3 0.227 0.539 0.571  -0.13
Mn1 0.994 0.492 0.495  3.32
O4 0.014 0.302 0.582  -0.03
O5 0.014 0.808 0.087  -0.02
Mn2 0.493 0.492 0.495  3.91
O6 0.758 0.949 0.927  -0.13
Mn3 0.746 0.239 0.502  3.91
O7 0.509 0.299 0.583  -0.03
O8 0.714 0.439 0.910  -0.02
O9 0.507 0.793 0.586  -0.02
Mn4 0.991 0.988 0.505  3.32
Mn5 0.493 0.988 0.506  3.91
O10 0.226 0.038 0.582  -0.11
Mn6 0.981 0.499 0.995  3.90
O11 0.973 0.685 0.413  -0.02
K2 0.481 0.058 0.251  0.00
O12 0.760 0.044 0.592  -0.03
K3 0.021 0.396 0.248  0.00
Mn7 0.243 0.748 0.001  3.90
K4 0.999 0.411 0.750  0.00
O13 0.260 0.552 0.088  -0.02
O14 0.479 0.686 0.415  -0.02
Mn8 0.993 0.996 0.002  3.31
Mn9 0.745 0.740 0.501  3.89
K5 0.524 0.400 0.251  0.00
O15 0.757 0.941 0.428  -0.13
Mn10 0.230 0.248 0.996  3.92
O16 0.972 0.178 0.417  -0.03
O17 0.974 0.693 0.915  -0.02
K6 0.236 0.778 0.749  0.00
K7 0.975 0.080 0.747  0.00
O18 0.227 0.050 0.076  -0.12
Mn11 0.240 0.241 0.497  3.91
Mn12 0.484 0.498 0.998  3.90
Mn13 0.239 0.741 0.498  3.90
K8 0.492 0.419 0.749  0.00
Mn14 0.499 0.996 0.006  3.90
K9 0.750 0.706 0.251  0.00
O19 0.760 0.443 0.418  -0.11
O20 0.761 0.553 0.088  -0.02
O21 0.761 0.055 0.088  -0.04
O22 0.476 0.179 0.418  -0.03
O23 0.967 0.298 0.074  -0.12
Mn15 0.745 0.747 0.002  3.90
K10 0.483 0.072 0.749  0.00
O24 0.221 0.936 0.416  -0.04
O25 0.012 0.796 0.587  -0.02
O26 0.965 0.188 0.914  -0.04
O27 0.764 0.545 0.585  -0.04
K11 0.745 0.709 0.754  0.00
O28 0.477 0.694 0.915  -0.01
O29 0.510 0.807 0.086  -0.03
K12 0.980 0.060 0.249  0.00
O30 0.502 0.300 0.086  -0.04
O31 0.226 0.438 0.406  -0.03
O32 0.502 0.194 0.925  -0.12
Mn16 0.734 0.248 0.000  3.33